Entry 1:
Computed, not measured: an optimized crystal structure of Na8TlCd2 at the GGA-PBE level of DFT.

a = 5.178 Å, b = 7.091 Å, c = 9.312 Å
α = 98.19°, β = 106.14°, γ = 90.00°
Element x y z (fractional)
Na1 0.137 0.195 0.274
Na2 0.316 0.094 0.633
Na3 0.948 0.256 0.897
Tl1 0.500 0.000 0.000
Na4 0.863 0.805 0.726
Na5 0.405 0.549 0.810
Na6 0.684 0.906 0.367
Na7 0.052 0.744 0.103
Cd1 0.230 0.617 0.461
Cd2 0.770 0.383 0.539
Na8 0.595 0.451 0.190

- Mass density: 3.1 g/cm³
- Density of states at the Fermi level: 5.034 states/eV/f.u.
- Space group: No. 12
- ΔE_f: -55 meV per atom
- E: -1.396 eV/atom

Entry 2:
Computed, not measured: an optimized crystal structure of Na2Tl7Cd at the GGA-PBE level of DFT.

a = 8.282 Å, b = 8.282 Å, c = 8.282 Å
α = 60.00°, β = 60.00°, γ = 60.00°
Element x y z (fractional)
Tl1 0.754 0.246 0.754
Tl2 0.246 0.754 0.754
Tl3 0.246 0.246 0.754
Na1 0.750 0.750 0.750
Cd1 0.000 0.000 0.000
Tl4 0.754 0.754 0.246
Tl5 0.500 0.500 0.500
Tl6 0.754 0.246 0.246
Tl7 0.246 0.754 0.246
Na2 0.250 0.250 0.250

- Mass density: 6.6 g/cm³
- Density of states at the Fermi level: 7.029 states/eV/f.u.
- Space group: No. 225
- ΔE_f: 241 meV per atom
- E: -1.771 eV/atom

Entry 3:
Computed, not measured: an optimized crystal structure of Na2TlCd4 at the GGA-PBE level of DFT.

a = 6.118 Å, b = 6.118 Å, c = 6.805 Å
α = 116.70°, β = 116.70°, γ = 90.02°
Element x y z (fractional)
Na1 0.286 0.786 0.571
Cd1 0.286 0.286 0.071
Cd2 0.786 0.786 0.072
Cd3 0.786 0.286 0.071
Cd4 0.286 0.786 0.071
Tl1 0.786 0.786 0.571
Na2 0.786 0.286 0.571

- Mass density: 5.9 g/cm³
- Density of states at the Fermi level: 2.233 states/eV/f.u.
- Space group: No. 139
- ΔE_f: -12 meV per atom
- E: -1.249 eV/atom
- Distance to the lowest polymorph of the same formula: 0.0 meV per atom

Entry 4:
Computed, not measured: an optimized crystal structure of Na9Tl3Cd2 at the GGA-PBE level of DFT.

a = 5.484 Å, b = 9.091 Å, c = 9.091 Å
α = 92.63°, β = 72.98°, γ = 72.98°
Element x y z (fractional)
Na1 0.363 0.029 0.252
Cd1 0.500 0.337 0.663
Cd2 0.500 0.663 0.337
Na2 0.363 0.252 0.029
Na3 0.000 0.500 0.500
Na4 0.137 0.621 0.101
Tl1 0.000 0.000 0.000
Tl2 0.289 0.703 0.703
Na5 0.137 0.101 0.621
Na6 0.863 0.379 0.899
Na7 0.637 0.971 0.748
Na8 0.637 0.748 0.971
Tl3 0.711 0.297 0.297
Na9 0.863 0.899 0.379

- Mass density: 4.2 g/cm³
- Density of states at the Fermi level: 4.291 states/eV/f.u.
- Space group: No. 12
- ΔE_f: -31 meV per atom
- E: -1.517 eV/atom

Entry 5:
Computed, not measured: an optimized crystal structure of Na3Tl3Cd at the GGA-PBE level of DFT.

a = 3.538 Å, b = 12.566 Å, c = 12.566 Å
α = 120.00°, β = 90.00°, γ = 90.00°
Element x y z (fractional)
Na1 0.750 0.349 0.223
Cd1 0.250 0.333 0.667
Na2 0.750 0.874 0.651
Tl1 0.750 0.509 0.893
Na3 0.250 0.223 0.874
Cd2 0.750 0.667 0.333
Na4 0.250 0.126 0.349
Tl2 0.250 0.491 0.107
Tl3 0.250 0.616 0.509
Na5 0.250 0.651 0.777
Tl4 0.750 0.107 0.616
Na6 0.750 0.777 0.126
Tl5 0.250 0.893 0.384
Tl6 0.750 0.384 0.491

- Mass density: 5.5 g/cm³
- Density of states at the Fermi level: 3.129 states/eV/f.u.
- Space group: No. 176
- ΔE_f: -4 meV per atom
- E: -1.714 eV/atom
- Distance to the lowest polymorph of the same formula: 57.7 meV per atom

Entry 6:
Computed, not measured: an optimized crystal structure of Na6TlCd at the GGA-PBE level of DFT.

a = 8.741 Å, b = 8.745 Å, c = 6.209 Å
α = 45.57°, β = 45.56°, γ = 60.59°
Element x y z (fractional)
Na1 0.501 0.249 0.251
Tl1 0.000 0.000 0.000
Na2 0.249 0.999 0.253
Na3 0.499 0.751 0.749
Na4 0.000 0.502 0.747
Cd1 0.500 0.500 0.500
Na5 0.751 0.001 0.747
Na6 0.000 0.498 0.253

- Mass density: 3.1 g/cm³
- Density of states at the Fermi level: 3.659 states/eV/f.u.
- Space group: No. 2
- ΔE_f: -49 meV per atom
- E: -1.448 eV/atom
- Distance to the lowest polymorph of the same formula: 3.8 meV per atom

Entry 7:
Computed, not measured: an optimized crystal structure of Na8TlCd6 at the GGA-PBE level of DFT.

a = 8.980 Å, b = 8.980 Å, c = 8.353 Å
α = 57.49°, β = 57.49°, γ = 60.00°
Element x y z (fractional)
Na1 0.664 0.664 0.008
Na2 0.439 0.796 0.640
Cd1 0.388 0.042 0.863
Cd2 0.042 0.707 0.863
Na3 0.874 0.561 0.360
Na4 0.126 0.439 0.640
Na5 0.336 0.336 0.992
Na6 0.204 0.874 0.360
Cd3 0.958 0.293 0.137
Cd4 0.612 0.958 0.137
Cd5 0.293 0.612 0.137
Na7 0.561 0.204 0.360
Tl1 0.000 0.000 0.000
Cd6 0.707 0.388 0.863
Na8 0.796 0.126 0.640

- Mass density: 3.9 g/cm³
- Density of states at the Fermi level: 7.115 states/eV/f.u.
- Space group: No. 148
- ΔE_f: -16 meV per atom
- E: -1.243 eV/atom
- Distance to the lowest polymorph of the same formula: 32.2 meV per atom

Entry 8:
Computed, not measured: an optimized crystal structure of Na4Tl4Cd3 at the GGA-PBE level of DFT.

a = 3.474 Å, b = 8.658 Å, c = 10.786 Å
α = 90.00°, β = 90.00°, γ = 101.57°
Element x y z (fractional)
Tl1 0.056 0.112 0.742
Na1 0.910 0.819 0.500
Cd1 0.396 0.791 0.239
Na2 0.738 0.476 0.264
Tl2 0.633 0.266 0.000
Tl3 0.623 0.245 0.500
Tl4 0.056 0.112 0.258
Cd2 0.296 0.591 0.000
Na3 0.958 0.917 0.000
Cd3 0.396 0.791 0.761
Na4 0.738 0.476 0.736

- Mass density: 6.5 g/cm³
- Density of states at the Fermi level: 4.152 states/eV/f.u.
- Space group: No. 38
- ΔE_f: -56 meV per atom
- E: -1.645 eV/atom